1.
# CsSrBi, optimized geometry, DFT PBE
# Electronic total energy (eV for the cell shown): -31.40
# ΔH_f (0 K) (eV/atom): -0.478
data_CsSrBi
_chemical_formula_sum 'Cs4 Sr4 Bi4'
_space_group_name_H-M_alt 'I 4/m m m'
_space_group_IT_number 139
_space_group_name_Hall '-I 4 2'
_cell_length_a 5.8647
_cell_length_b 5.8647
_cell_length_c 18.4965
_cell_angle_alpha 90.00
_cell_angle_beta 90.00
_cell_angle_gamma 90.00
loop_
_atom_site_label
_atom_site_type_symbol
_atom_site_fract_x
_atom_site_fract_y
_atom_site_fract_z
_atom_site_occupancy
Cs1 Cs 0.0000 0.5000 0.2500 1
Sr1 Sr 0.0000 0.5000 0.0000 1
Bi1 Bi 0.0000 0.0000 0.1064 1

2.
# Rb2TcCS, optimized geometry, DFT PBE
# Electronic total energy (eV for the cell shown): -18.63
# Formation energy from raw total energies (kJ/mol of formula units): 677.8
data_Rb2TcCS
_chemical_formula_sum 'Rb2 Tc1 C1 S1'
_space_group_name_H-M_alt 'P 4/m m m'
_space_group_IT_number 123
_space_group_name_Hall '-P 4 2'
_cell_length_a 6.5379
_cell_length_b 6.5379
_cell_length_c 3.5532
_cell_angle_alpha 90.00
_cell_angle_beta 90.00
_cell_angle_gamma 90.00
loop_
_atom_site_label
_atom_site_type_symbol
_atom_site_fract_x
_atom_site_fract_y
_atom_site_fract_z
_atom_site_occupancy
Rb1 Rb 0.0000 0.5000 0.0000 1
Tc1 Tc 0.0000 0.0000 0.5000 1
C1 C 0.5000 0.5000 0.0000 1
S1 S 0.5000 0.5000 0.5000 1

3.
# CaTbPmIr, optimized geometry, DFT PBE
# Electronic total energy (eV for the cell shown): -83.39
# ΔH_f (0 K) (eV/atom): -0.151
data_CaTbPmIr
_chemical_formula_sum 'Ca4 Tb4 Pm4 Ir4'
_space_group_name_H-M_alt 'F -4 3 m'
_space_group_IT_number 216
_space_group_name_Hall 'F -4 2 3'
_cell_length_a 7.3491
_cell_length_b 7.3491
_cell_length_c 7.3491
_cell_angle_alpha 90.00
_cell_angle_beta 90.00
_cell_angle_gamma 90.00
loop_
_atom_site_label
_atom_site_type_symbol
_atom_site_fract_x
_atom_site_fract_y
_atom_site_fract_z
_atom_site_occupancy
Ca1 Ca 0.0000 0.0000 0.0000 1
Tb1 Tb 0.2500 0.2500 0.7500 1
Pm1 Pm 0.2500 0.2500 0.2500 1
Ir1 Ir 0.0000 0.0000 0.5000 1

4.
# Bi2HPd3, optimized geometry, DFT PBE
# Electronic total energy (eV for the cell shown): -109.72
# Energy above the lowest structure with this stoichiometry (meV/atom): 53
data_Bi2HPd3
_chemical_formula_sum 'Bi8 H4 Pd12'
_space_group_name_H-M_alt 'C 1 2/c 1'
_space_group_IT_number 15
_space_group_name_Hall '-C 2yc'
_cell_length_a 6.9387
_cell_length_b 13.4471
_cell_length_c 5.6519
_cell_angle_alpha 90.00
_cell_angle_beta 125.75
_cell_angle_gamma 90.00
loop_
_atom_site_label
_atom_site_type_symbol
_atom_site_fract_x
_atom_site_fract_y
_atom_site_fract_z
_atom_site_occupancy
Bi1 Bi 0.0000 0.0611 0.2500 1
Bi2 Bi 0.0000 0.2108 0.7500 1
H1 H 0.0000 0.4886 0.7500 1
Pd1 Pd 0.0701 0.4017 0.0500 1
Pd2 Pd 0.2500 0.2500 0.5000 1

5.
# K2SrIn, optimized geometry, DFT PBE
# Electronic total energy (eV for the cell shown): -24.51
# ΔH_f (0 K) (eV/atom): 0.122
data_K2SrIn
_chemical_formula_sum 'K8 Sr4 In4'
_space_group_name_H-M_alt 'I -4 2 d'
_space_group_IT_number 122
_space_group_name_Hall 'I -4 2bw'
_cell_length_a 10.9012
_cell_length_b 10.9012
_cell_length_c 7.0149
_cell_angle_alpha 90.00
_cell_angle_beta 90.00
_cell_angle_gamma 90.00
loop_
_atom_site_label
_atom_site_type_symbol
_atom_site_fract_x
_atom_site_fract_y
_atom_site_fract_z
_atom_site_occupancy
K1 K 0.1878 0.2500 0.1250 1
Sr1 Sr 0.0000 0.0000 0.5000 1
In1 In 0.0000 0.0000 0.0000 1

6.
# KCu2Ir, optimized geometry, DFT PBE
# Electronic total energy (eV for the cell shown): -58.62
# ΔH_f (0 K) (eV/atom): 0.874
# Energy above the lowest structure with this stoichiometry (meV/atom): 543
data_KCu2Ir
_chemical_formula_sum 'K4 Cu8 Ir4'
_space_group_name_H-M_alt 'F m -3 m'
_space_group_IT_number 225
_space_group_name_Hall '-F 4 2 3'
_cell_length_a 6.4806
_cell_length_b 6.4806
_cell_length_c 6.4806
_cell_angle_alpha 90.00
_cell_angle_beta 90.00
_cell_angle_gamma 90.00
loop_
_atom_site_label
_atom_site_type_symbol
_atom_site_fract_x
_atom_site_fract_y
_atom_site_fract_z
_atom_site_occupancy
K1 K 0.0000 0.0000 0.0000 1
Cu1 Cu 0.2500 0.2500 0.2500 1
Ir1 Ir 0.0000 0.0000 0.5000 1

7.
# PrSmRe4, optimized geometry, DFT PBE
# Electronic total energy (eV for the cell shown): -236.18
# ΔH_f (0 K) (eV/atom): 0.041
data_PrSmRe4
_chemical_formula_sum 'Pr4 Sm4 Re16'
_space_group_name_H-M_alt 'F -4 3 m'
_space_group_IT_number 216
_space_group_name_Hall 'F -4 2 3'
_cell_length_a 7.7818
_cell_length_b 7.7818
_cell_length_c 7.7818
_cell_angle_alpha 90.00
_cell_angle_beta 90.00
_cell_angle_gamma 90.00
loop_
_atom_site_label
_atom_site_type_symbol
_atom_site_fract_x
_atom_site_fract_y
_atom_site_fract_z
_atom_site_occupancy
Pr1 Pr 0.0000 0.0000 0.0000 1
Sm1 Sm 0.2500 0.2500 0.7500 1
Re1 Re 0.1249 0.1249 0.3751 1

8.
# SbTe2PRu, optimized geometry, DFT PBE
# Electronic total energy (eV for the cell shown): -21.16
# Formation energy from raw total energies (kJ/mol of formula units): 379.4
# Energy above the lowest structure with this stoichiometry (meV/atom): 0
data_SbTe2PRu
_chemical_formula_sum 'Sb1 Te2 P1 Ru1'
_space_group_name_H-M_alt 'P 4/m m m'
_space_group_IT_number 123
_space_group_name_Hall '-P 4 2'
_cell_length_a 5.1512
_cell_length_b 5.1512
_cell_length_c 5.0869
_cell_angle_alpha 90.00
_cell_angle_beta 90.00
_cell_angle_gamma 90.00
loop_
_atom_site_label
_atom_site_type_symbol
_atom_site_fract_x
_atom_site_fract_y
_atom_site_fract_z
_atom_site_occupancy
Sb1 Sb 0.0000 0.0000 0.0000 1
Te1 Te 0.0000 0.5000 0.5000 1
P1 P 0.5000 0.5000 0.0000 1
Ru1 Ru 0.0000 0.0000 0.5000 1